# 1
The following is a DFT calculation (PBE) of crystalline PmPuPd6 at its relaxed geometry.

## Properties
ΔE_f = -0.6814 eV per atom
SG = No. 123
DOS at the Fermi energy = 16.82 states/eV/cell

POSCAR file:
```
PmPuPd6
1.0
4.1612 0.0000 0.0000
0.0000 4.1612 0.0000
0.0000 0.0000 8.3314
Pm Pu Pd
1 1 6
direct
0.0000 0.0000 0.0000
0.0000 0.0000 0.5000
0.0000 0.5000 0.2562
0.0000 0.5000 0.7438
0.5000 0.0000 0.2562
0.5000 0.0000 0.7438
0.5000 0.5000 0.0000
0.5000 0.5000 0.5000
```

# 2
The following is a DFT calculation (PBE) of crystalline Tl4RuPb at its relaxed geometry.

## Properties
ΔE_f = 0.7600 eV per atom
SG = No. 216
DOS at the Fermi energy = 6.06 states/eV/cell

POSCAR file:
```
Tl4RuPb
1.0
0.0000 4.3810 4.3810
4.3810 0.0000 4.3810
4.3810 4.3810 0.0000
Tl Ru Pb
4 1 1
direct
0.3757 0.3757 0.3757
0.3757 0.3757 0.8730
0.3757 0.8730 0.3757
0.8730 0.3757 0.3757
0.7500 0.7500 0.7500
0.0000 0.0000 0.0000
```

# 3
The following is a DFT calculation (PBE) of crystalline Sm4CSO2 at its relaxed geometry.

## Properties
formation energy without anion corrections = -1.954 eV/atom
SG = No. 10
DOS at the Fermi energy = 2.41 states/eV/cell

POSCAR file:
```
Sm4CSO2
1.0
6.3152 0.0000 0.0000
0.0000 3.6951 0.0000
-2.1847 0.0000 6.1450
Sm C S O
4 1 1 2
direct
0.2367 0.0000 0.2234
0.2454 0.5000 0.7656
0.7546 0.5000 0.2344
0.7633 0.0000 0.7766
0.5000 0.0000 0.0000
0.5000 0.5000 0.5000
0.0000 0.0000 0.5000
0.0000 0.5000 0.0000
```

# 4
The following is a DFT calculation (PBE) of crystalline Ba2ScSnSe5 at its relaxed geometry.

## Properties
formation energy without anion corrections = -1.466 eV/atom
SG = No. 36
DOS at the Fermi energy = 4.25 states/eV/cell

POSCAR file:
```
Ba2ScSnSe5
1.0
2.1890 -9.2953 0.0000
2.1890 9.2953 0.0000
0.0000 0.0000 13.3777
Ba Sc Sn Se
4 2 2 10
direct
0.1157 0.8843 0.5000
0.1385 0.8615 0.1288
0.8615 0.1385 0.6288
0.8843 0.1157 0.0000
0.2121 0.7879 0.8408
0.7879 0.2121 0.3408
0.4532 0.5468 0.2667
0.5468 0.4532 0.7667
0.0583 0.9417 0.8838
0.2876 0.7124 0.4682
0.3145 0.6855 0.1997
0.3525 0.6475 0.8183
0.4926 0.5074 0.5835
0.5074 0.4926 0.0835
0.6475 0.3525 0.3183
0.6855 0.3145 0.6997
0.7124 0.2876 0.9682
0.9417 0.0583 0.3838
```

# 5
The following is a DFT calculation (PBE) of crystalline CdRu2Se at its relaxed geometry.

## Properties
formation energy without anion corrections = 0.639 eV/atom
ΔE to the lowest computed polymorph = 461 meV/atom
SG = No. 216
DOS at the Fermi energy = 3.85 states/eV/cell

POSCAR file:
```
CdRu2Se
1.0
0.0000 3.2194 3.2194
3.2194 0.0000 3.2194
3.2194 3.2194 0.0000
Cd Ru Se
1 2 1
direct
0.0000 0.0000 0.0000
0.2500 0.2500 0.2500
0.5000 0.5000 0.5000
0.7500 0.7500 0.7500
```

# 6
The following is a DFT calculation (PBE) of crystalline ErPaTcRh at its relaxed geometry.

## Properties
ΔE_f = -0.4577 eV per atom
SG = No. 216
DOS at the Fermi energy = 2.83 states/eV/cell

POSCAR file:
```
ErPaTcRh
1.0
0.0000 3.4247 3.4247
3.4247 0.0000 3.4247
3.4247 3.4247 0.0000
Er Pa Tc Rh
1 1 1 1
direct
0.0000 0.0000 0.0000
0.5000 0.5000 0.5000
0.7500 0.7500 0.7500
0.2500 0.2500 0.2500
```

# 7
The following is a DFT calculation (PBE) of crystalline Hf2ScH at its relaxed geometry.

## Properties
ΔE to the lowest computed polymorph = 0 meV/atom
SG = No. 122
DOS at the Fermi energy = 4.64 states/eV/cell

POSCAR file:
```
Hf2ScH
1.0
-3.0642 3.0642 4.0860
3.0642 -3.0642 4.0860
3.0642 3.0642 -4.0860
Hf Sc H
4 2 2
direct
0.3750 0.0470 0.1720
0.7970 0.6250 0.6720
0.8750 0.2030 0.8280
0.9530 0.1250 0.3280
0.2500 0.7500 0.5000
0.5000 0.5000 0.0000
0.0000 0.0000 0.0000
0.7500 0.2500 0.5000
```

# 8
The following is a DFT calculation (PBE) of crystalline Th3RuI3 at its relaxed geometry.

## Properties
formation energy without anion corrections = -0.853 eV/atom
SG = No. 11
DOS at the Fermi energy = 9.62 states/eV/cell

POSCAR file:
```
Th3RuI3
1.0
9.6256 0.0000 0.0000
0.0000 4.0054 0.0000
-0.5884 0.0000 12.3960
Th Ru I
6 2 6
direct
0.0795 0.2500 0.1220
0.0873 0.2500 0.6122
0.2989 0.7500 0.3675
0.7011 0.2500 0.6325
0.9127 0.7500 0.3878
0.9205 0.7500 0.8780
0.1089 0.2500 0.3679
0.8911 0.7500 0.6321
0.1887 0.2500 0.8732
0.3536 0.7500 0.1174
0.3975 0.7500 0.6276
0.6025 0.2500 0.3724
0.6464 0.2500 0.8826
0.8113 0.7500 0.1268
```

- Look up the DOS at the Fermi energy of the fifth one.
  3.85 states/eV/cell

- The highest DOS at the Fermi energy belongs to which entry?
  PmPuPd6

- The lowest DOS at the Fermi energy belongs to which entry?
  Sm4CSO2

- DOS at the Fermi energy of number 8 (Th3RuI3)?
  9.62 states/eV/cell